No. 1
First-principles (PBEsol) data for crystalline AlZnAg2 at its relaxed geometry, as listed in the Alexandria database.

Geometry as POSCAR:
```
AlZnAg2
1.0
4.4248 0.0000 0.0000
0.0000 4.4248 0.0000
0.0000 0.0000 3.1421
Al Zn Ag
1 1 2
Cartesian
0.0000 0.0000 0.0000 Al
2.2124 2.2124 0.0000 Zn
0.0000 2.2124 1.5710 Ag
2.2124 0.0000 1.5710 Ag
```

SG: P4/mmm
formation enthalpy at 0 K: -0.291 eV/f.u.
electronic total energy: -3.147 eV/atom


No. 2
First-principles (PBEsol) data for crystalline AlZnAg at its relaxed geometry, as listed in the Alexandria database.

Geometry as POSCAR:
```
AlZnAg
1.0
2.8771 0.0000 0.0000
-1.4385 2.4916 0.0000
0.0000 0.0000 6.5054
Al Zn Ag
1 1 1
Cartesian
0.0000 0.0000 0.0000 Al
0.0000 1.6611 4.3593 Zn
1.4385 0.8305 2.1859 Ag
```

SG: P3m1
formation enthalpy at 0 K: -0.111 eV/f.u.
distance to the lowest polymorph of the same formula: 9 meV/atom
electronic total energy: -3.032 eV/atom


No. 3
First-principles (PBEsol) data for crystalline Al2ZnAg at its relaxed geometry, as listed in the Alexandria database.

Geometry as POSCAR:
```
Al2ZnAg
1.0
2.7928 0.0000 0.0000
0.0000 4.8659 0.0000
-0.2443 0.0000 4.7718
Al Zn Ag
2 1 1
Cartesian
0.6311 0.0000 1.1868 Al
1.9173 0.0000 3.5851 Al
0.0000 2.4330 0.0000 Zn
1.2742 2.4330 2.3859 Ag
```

SG: P2/m
formation enthalpy at 0 K: 0.183 eV/f.u.
electronic total energy: -3.223 eV/atom


No. 4
First-principles (PBEsol) data for crystalline Al2ZnAg at its relaxed geometry, as listed in the Alexandria database.

Geometry as POSCAR:
```
Al2ZnAg
1.0
2.8200 0.0000 0.0000
0.0000 2.8200 0.0000
0.0000 0.0000 7.9031
Al Zn Ag
2 1 1
Cartesian
0.0000 0.0000 0.0000 Al
1.4100 1.4100 2.0415 Al
1.4100 1.4100 5.9951 Zn
0.0000 0.0000 4.0252 Ag
```

SG: P4mm
formation enthalpy at 0 K: -0.064 eV/f.u.
electronic total energy: -3.285 eV/atom


no.,Fermi-level density of states (states/eV per cell)
1,0.72
2,1.07
3,1.34
4,1.61